# 1
GdGaBr2: optimized geometry, PBE.

Computed properties:
Formation energy (no corrections): -2.7 eV/f.u.
Theoretical density: 4.63 g/cm3
Symmetry: No. 166

a = 4.0818 Å, b = 4.0818 Å, c = 9.8973 Å
α = 78.10°, β = 78.10°, γ = 60.00°
Last column: nearest neighbours and their distance in Å.
Element x y z (fractional)
Gd1 0.0000 0.0000 0.0000  2 Br 2.82
Ga1 0.5000 0.5000 0.5000  6 Br 3.08
Br1 0.0977 0.0977 0.7068  1 Gd 2.82, 3 Ga 3.08
Br2 0.9023 0.9023 0.2932  1 Gd 2.82, 3 Ga 3.08

***

# 2
TbLu2Ti: optimized geometry, PBE.

Computed properties:
E_form: 0.188 eV/atom
Theoretical density: 8.71 g/cm3
Symmetry: No. 123

a = 4.7571 Å, b = 4.7241 Å, c = 4.7241 Å
α = 90.00°, β = 90.00°, γ = 90.00°
Last column: nearest neighbours and their distance in Å.
Element x y z (fractional)
Lu1 0.0000 0.0000 0.5000  4 Lu 3.34, 4 Tb 3.35, 4 Ti 3.35
Lu2 0.0000 0.5000 0.0000  4 Lu 3.34, 4 Tb 3.35, 4 Ti 3.35
Tb1 0.5000 0.0000 0.0000  4 Ti 3.34, 8 Lu 3.35
Ti1 0.5000 0.5000 0.5000  4 Tb 3.34, 8 Lu 3.35

***

# 3
FeHgSb2: optimized geometry, PBE.

Computed properties:
Formation energy (no corrections): 2.0 eV/f.u.
Theoretical density: 9.22 g/cm3
Symmetry: No. 139

a = 5.2846 Å, b = 5.2846 Å, c = 5.2846 Å
α = 127.52°, β = 127.52°, γ = 77.41°
Last column: nearest neighbours and their distance in Å.
Element x y z (fractional)
Fe1 0.2500 0.7500 0.5000  8 Sb 3.12, 4 Hg 3.30
Hg1 0.7500 0.2500 0.5000  8 Sb 3.12, 4 Fe 3.30
Sb1 0.0000 0.0000 0.0000  4 Hg 3.12, 4 Fe 3.12, 4 Sb 3.30
Sb2 0.5000 0.5000 0.0000  4 Fe 3.12, 4 Hg 3.12, 4 Sb 3.30

***

# 4
SmTmAlZn: optimized geometry, PBE.

Computed properties:
E_form: -0.357 eV/atom
Theoretical density: 7.28 g/cm3
Symmetry: No. 216

a = 5.1016 Å, b = 5.1016 Å, c = 5.1016 Å
α = 60.00°, β = 60.00°, γ = 60.00°
Last column: nearest neighbours and their distance in Å.
Element x y z (fractional)
Zn1 0.0000 0.0000 0.0000  4 Tm 3.12, 4 Sm 3.12
Tm1 0.7500 0.7500 0.7500  4 Zn 3.12, 4 Al 3.12
Al1 0.5000 0.5000 0.5000  4 Sm 3.12, 4 Tm 3.12
Sm1 0.2500 0.2500 0.2500  4 Al 3.12, 4 Zn 3.12

***

# 5
ErTlAu: optimized geometry, PBE.

Computed properties:
E_form: -0.580 eV/atom
Theoretical density: 13.36 g/cm3
Symmetry: No. 194

a = 5.0768 Å, b = 5.0768 Å, c = 6.3332 Å
α = 90.00°, β = 90.00°, γ = 119.99°
Last column: nearest neighbours and their distance in Å.
Element x y z (fractional)
Er1 0.6666 0.8334 0.7500  5 Au 2.93-3.17
Er2 0.3334 0.1666 0.2500  5 Au 2.93-3.17
Tl1 0.0000 0.5000 0.0000  2 Tl 3.17, 6 Au 3.33, 6 Er 3.33
Tl2 0.0000 0.5000 0.5000  2 Tl 3.17, 6 Au 3.33, 6 Er 3.33
Au1 0.3332 0.1668 0.7500  5 Er 2.93-3.17
Au2 0.6668 0.8332 0.2500  5 Er 2.93-3.17

***

# 6
Ta2AsOs: optimized geometry, PBE.

Computed properties:
E_form: 0.016 eV/atom
Theoretical density: 15.71 g/cm3
Symmetry: No. 123

a = 4.6171 Å, b = 4.6171 Å, c = 3.1090 Å
α = 90.00°, β = 90.00°, γ = 90.00°
Last column: nearest neighbours and their distance in Å.
Element x y z (fractional)
As1 0.5000 0.0000 0.5000  8 Ta 2.78, 2 As 3.11
Os1 0.0000 0.5000 0.5000  8 Ta 2.78, 2 Os 3.11
Ta1 0.0000 0.0000 0.0000  4 As 2.78, 4 Os 2.78, 2 Ta 3.11
Ta2 0.5000 0.5000 0.0000  4 As 2.78, 4 Os 2.78, 2 Ta 3.11

***

# 7
NaY3As: optimized geometry, PBE.

Computed properties:
E_form: -0.248 eV/atom
Theoretical density: 3.56 g/cm3
Symmetry: No. 221

a = 5.5386 Å, b = 5.5386 Å, c = 5.5386 Å
α = 90.00°, β = 90.00°, γ = 90.00°
Last column: nearest neighbours and their distance in Å.
Element x y z (fractional)
Y1 0.0000 0.5000 0.0000  2 As 2.77
Y2 0.0000 0.0000 0.5000  2 As 2.77
Y3 0.5000 0.0000 0.0000  2 As 2.77
Na1 0.5000 0.5000 0.5000  12 Y 3.92
As1 0.0000 0.0000 0.0000  6 Y 2.77

***

# 8
Ac3CoAuCl: optimized geometry, PBE.

Computed properties:
Formation energy (no corrections): -4.0 eV/f.u.
Theoretical density: 8.67 g/cm3
Symmetry: No. 11

a = 4.3455 Å, b = 8.8710 Å, c = 9.8145 Å
α = 100.15°, β = 90.00°, γ = 90.00°
Last column: nearest neighbours and their distance in Å.
Element x y z (fractional)
Ac1 0.2500 0.7146 0.4600  3 Cl 3.02-3.20, 1 Co 3.10
Ac2 0.7500 0.8676 0.1083  1 Cl 2.84, 2 Co 2.90
Ac3 0.7500 0.4380 0.1564  3 Co 2.88-2.95
Ac4 0.7500 0.2854 0.5400  3 Cl 3.02-3.20, 1 Co 3.10
Ac5 0.2500 0.5620 0.8436  3 Co 2.88-2.95
Ac6 0.2500 0.1324 0.8917  1 Cl 2.84, 2 Co 2.90
Co1 0.2500 0.6597 0.1397  6 Ac 2.88-3.10
Co2 0.7500 0.3403 0.8603  6 Ac 2.88-3.10
Au1 0.7500 0.7918 0.7482  5 Ac 3.23-3.54
Au2 0.2500 0.2082 0.2518  5 Ac 3.23-3.54
Cl1 0.2500 0.0693 0.5976  3 Ac 2.84-3.02, 2 Cl 3.01
Cl2 0.7500 0.9307 0.4024  3 Ac 2.84-3.02, 2 Cl 3.01

***

# 9
YTm3Ru: optimized geometry, PBE.

Computed properties:
E_form: -0.080 eV/atom
Theoretical density: 8.46 g/cm3
Symmetry: No. 12

a = 3.5310 Å, b = 9.4587 Å, c = 8.7054 Å
α = 105.66°, β = 101.70°, γ = 90.00°
Last column: nearest neighbours and their distance in Å.
Element x y z (fractional)
Y1 0.6938 0.3127 0.3876  2 Ru 2.90
Y2 0.3062 0.6873 0.6124  2 Ru 2.90
Tm1 0.0017 0.1762 0.0034  2 Ru 2.77-2.78
Tm2 0.9983 0.8238 0.9966  2 Ru 2.77-2.78
Tm3 0.3151 0.1307 0.6301  3 Ru 2.83-2.94
Tm4 0.6849 0.8693 0.3699  3 Ru 2.83-2.94
Tm5 0.0984 0.5424 0.1967  7 Tm 3.23-3.53, 3 Y 3.43-3.53
Tm6 0.9016 0.4576 0.8033  7 Tm 3.23-3.53, 3 Y 3.43-3.53
Ru1 0.8641 0.9376 0.7283  5 Tm 2.77-2.94, 2 Y 2.90
Ru2 0.1359 0.0624 0.2717  5 Tm 2.77-2.94, 2 Y 2.90

***

# 10
TlTePbF2: optimized geometry, PBE.

Computed properties:
Formation energy (no corrections): -6.6 eV/f.u.
Theoretical density: 6.80 g/cm3
Symmetry: No. 123

a = 4.7293 Å, b = 4.7293 Å, c = 6.3015 Å
α = 90.00°, β = 90.00°, γ = 90.00°
Last column: nearest neighbours and their distance in Å.
Element x y z (fractional)
Pb1 0.0000 0.0000 0.0000  4 F 2.36
Tl1 0.5000 0.5000 0.5000  4 Te 3.34
Te1 0.0000 0.0000 0.5000  2 Pb 3.15, 4 Tl 3.34
F1 0.0000 0.5000 0.0000  2 Pb 2.36
F2 0.5000 0.0000 0.0000  2 Pb 2.36

***

# 11
Cs2Cd3Hg2: optimized geometry, PBE.

Computed properties:
E_form: -0.121 eV/atom
Theoretical density: 6.35 g/cm3
Symmetry: No. 12

a = 5.6964 Å, b = 6.8108 Å, c = 7.8133 Å
α = 105.95°, β = 90.00°, γ = 114.72°
Last column: nearest neighbours and their distance in Å.
Element x y z (fractional)
Cs1 0.8527 0.7053 0.2086  5 Hg 3.76-3.97, 8 Cd 3.96-4.17
Cs2 0.1473 0.2947 0.7914  5 Hg 3.76-3.97, 8 Cd 3.96-4.17
Cd1 0.5000 0.0000 0.0000  2 Cd 3.02
Cd2 0.5923 0.1845 0.4042  2 Cd 3.02-3.09, 3 Hg 3.11-3.16
Cd3 0.4077 0.8155 0.5958  2 Cd 3.02-3.09, 3 Hg 3.11-3.16
Hg1 0.8300 0.6599 0.6903  3 Cd 3.11-3.16
Hg2 0.1700 0.3401 0.3097  3 Cd 3.11-3.16

***

# 12
Ag2BC: optimized geometry, PBE.

Computed properties:
E_form: 1.881 eV/atom
Theoretical density: 7.97 g/cm3
Symmetry: No. 225

a = 4.1269 Å, b = 4.1269 Å, c = 4.1269 Å
α = 60.00°, β = 60.00°, γ = 60.00°
Last column: nearest neighbours and their distance in Å.
Element x y z (fractional)
C1 0.5000 0.5000 0.5000  8 Ag 2.53
B1 0.0000 0.0000 0.0000  8 Ag 2.53
Ag1 0.2500 0.2500 0.2500  4 C 2.53, 4 B 2.53
Ag2 0.7500 0.7500 0.7500  4 C 2.53, 4 B 2.53

***

- Which formula does entry 4 have?
  SmTmAlZn